Density functional theory data (GGA-PBE) for an optimized crystal structure of Ta2TcPb.

Structure (POSCAR):
```
Ta2TcPb
1.0
3.1505 0.0000 0.0000
0.0000 3.9738 0.0000
0.0000 0.0000 5.9884
Ta Tc Pb
2 1 1
Direct
0.0000 0.0000 0.2177
0.0000 0.0000 0.7823
0.5000 0.5000 0.0000
0.5000 0.5000 0.5000
```

The value obtained for the density of states at the Fermi level is 2.87 states/eV/cell. For the volume, the calculation gives 18.7 Å³/atom. The calculation puts the size of the total moment at 0.0 Bohr magnetons per cell. The value obtained for the total energy is -36.6 eV per formula unit. Its symmetry is Pmmm, No. 47. The calculation puts the formation energy at 294 meV per atom.

---

Density functional theory data (GGA-PBE) for an optimized crystal structure of Ta2TcPb.

Structure (POSCAR):
```
Ta2TcPb
1.0
-2.0085 2.0085 9.9552
2.0085 -2.0085 9.9552
2.0085 2.0085 -9.9552
Ta Tc Pb
4 2 2
Direct
0.1248 0.6250 0.9998
0.3750 0.3748 0.4998
0.6252 0.1250 0.0002
0.8750 0.8752 0.5002
0.0000 0.0000 0.0000
0.7500 0.2500 0.5000
0.2500 0.7500 0.5000
0.5000 0.5000 0.0000
```

The value obtained for the density of states at the Fermi level is 8.41 states/eV/cell. For the volume, the calculation gives 20.1 Å³/atom. The calculation puts the size of the total moment at 1.0 Bohr magnetons per cell. The value obtained for the total energy is -34.1 eV per formula unit. Its symmetry is I-42d, No. 122. The calculation puts the formation energy at 913 meV per atom.

---

Density functional theory data (GGA-PBE) for an optimized crystal structure of Ta2TcPb.

Structure (POSCAR):
```
Ta2TcPb
1.0
-1.7151 2.3209 4.6155
1.7151 -2.3209 4.6155
1.7151 2.3209 -4.6155
Ta Tc Pb
2 1 1
Direct
0.2337 0.2337 0.0000
0.7663 0.7663 0.0000
0.0000 0.5000 0.5000
0.5000 0.0000 0.5000
```

The value obtained for the density of states at the Fermi level is 3.79 states/eV/cell. For the volume, the calculation gives 18.4 Å³/atom. The calculation puts the size of the total moment at 0.0 Bohr magnetons per cell. The value obtained for the total energy is -36.8 eV per formula unit. Its symmetry is Immm, No. 71. The calculation puts the formation energy at 253 meV per atom.

---

Density functional theory data (GGA-PBE) for an optimized crystal structure of TaTc3Pb.

Structure (POSCAR):
```
TaTc3Pb
1.0
4.8215 0.0000 0.0000
0.0000 4.8215 0.0000
0.0000 0.0000 4.8215
Ta Tc Pb
1 3 1
Direct
0.0000 0.0000 0.0000
0.0000 0.5000 0.5000
0.5000 0.0000 0.5000
0.5000 0.5000 0.0000
0.5000 0.5000 0.5000
```

For the energy above the lowest structure with this stoichiometry, the calculation gives 984 meV/atom. The value obtained for the density of states at the Fermi level is 8.27 states/eV/cell. For the volume, the calculation gives 22.4 Å³/atom. The calculation puts the size of the total moment at 0.0 Bohr magnetons per cell. The value obtained for the total energy is -34.1 eV per formula unit. Its symmetry is Pm-3m, No. 221. The calculation puts the formation energy at 2522 meV per atom.

---

Density functional theory data (GGA-PBE) for an optimized crystal structure of Ta2TcPb.

Structure (POSCAR):
```
Ta2TcPb
1.0
3.1006 0.0000 0.0000
0.0000 4.1735 0.0000
-0.6168 0.0000 5.8195
Ta Tc Pb
2 1 1
Direct
0.0738 0.0000 0.2839
0.9262 0.0000 0.7161
0.5000 0.5000 0.5000
0.5000 0.5000 0.0000
```

The value obtained for the density of states at the Fermi level is 2.22 states/eV/cell. For the volume, the calculation gives 18.8 Å³/atom. The calculation puts the size of the total moment at 0.0 Bohr magnetons per cell. The value obtained for the total energy is -36.7 eV per formula unit. Its symmetry is P2/m, No. 10. The calculation puts the formation energy at 276 meV per atom.

---

Density functional theory data (GGA-PBE) for an optimized crystal structure of TaTcPb2.

Structure (POSCAR):
```
TaTcPb2
1.0
1.6137 0.9317 9.1227
-1.6137 0.9317 9.1227
0.0000 -1.8634 9.1227
Ta Tc Pb
1 1 2
Direct
0.0000 0.0000 0.0000
0.5000 0.5000 0.5000
0.2451 0.2451 0.2451
0.7549 0.7549 0.7549
```

For the energy above the lowest structure with this stoichiometry, the calculation gives 601 meV/atom. The value obtained for the density of states at the Fermi level is 3.29 states/eV/cell. For the volume, the calculation gives 20.6 Å³/atom. The calculation puts the size of the total moment at 0.0 Bohr magnetons per cell. The value obtained for the total energy is -26.6 eV per formula unit. Its symmetry is R-3m, No. 166. The calculation puts the formation energy at 751 meV per atom.

---

Density functional theory data (GGA-PBE) for an optimized crystal structure of TaTcPb2.

Structure (POSCAR):
```
TaTcPb2
1.0
-1.6225 2.4362 5.9548
1.6225 -2.4362 5.9548
1.6225 2.4362 -5.9548
Ta Tc Pb
1 1 2
Direct
0.0000 0.0000 0.0000
0.1553 0.6553 0.5000
0.4108 0.4108 0.0000
0.6939 0.1939 0.5000
```

For the energy above the lowest structure with this stoichiometry, the calculation gives 352 meV/atom. The value obtained for the density of states at the Fermi level is 2.88 states/eV/cell. For the volume, the calculation gives 23.5 Å³/atom. The calculation puts the size of the total moment at 0.0 Bohr magnetons per cell. The value obtained for the total energy is -27.6 eV per formula unit. Its symmetry is Imm2, No. 44. The calculation puts the formation energy at 503 meV per atom.

---

Density functional theory data (GGA-PBE) for an optimized crystal structure of Ta2TcPb.

Structure (POSCAR):
```
Ta2TcPb
1.0
3.0317 0.0000 0.0000
0.0000 4.5614 0.0000
-1.0069 0.0000 5.5780
Ta Tc Pb
2 1 1
Direct
0.0000 0.0000 0.0000
0.3045 0.5000 0.7511
0.7148 0.5000 0.1724
0.6786 0.0000 0.4806
```

The value obtained for the density of states at the Fermi level is 2.97 states/eV/cell. For the volume, the calculation gives 19.3 Å³/atom. The calculation puts the size of the total moment at 0.0 Bohr magnetons per cell. The value obtained for the total energy is -36.5 eV per formula unit. Its symmetry is Pm, No. 6. The calculation puts the formation energy at 320 meV per atom.

---

Density functional theory data (GGA-PBE) for an optimized crystal structure of Ta2TcPb.

Structure (POSCAR):
```
Ta2TcPb
1.0
2.8737 -3.9888 0.0000
2.8737 3.9888 0.0000
0.0000 0.0000 3.2283
Ta Tc Pb
2 1 1
Direct
0.0000 0.5000 0.0000
0.5000 0.0000 0.0000
0.0000 0.0000 0.5000
0.5000 0.5000 0.5000
```

The value obtained for the density of states at the Fermi level is 3.47 states/eV/cell. For the volume, the calculation gives 18.5 Å³/atom. The calculation puts the size of the total moment at 0.0 Bohr magnetons per cell. The value obtained for the total energy is -36.3 eV per formula unit. Its symmetry is Cmmm, No. 65. The calculation puts the formation energy at 378 meV per atom.

---

Density functional theory data (GGA-PBE) for an optimized crystal structure of Ta2TcPb.

Structure (POSCAR):
```
Ta2TcPb
1.0
4.1031 0.0000 0.0000
0.0000 4.1031 0.0000
0.0000 0.0000 4.3387
Ta Tc Pb
2 1 1
Direct
0.0000 0.5000 0.0000
0.5000 0.0000 0.0000
0.0000 0.0000 0.5000
0.5000 0.5000 0.5000
```

The value obtained for the density of states at the Fermi level is 2.61 states/eV/cell. For the volume, the calculation gives 18.3 Å³/atom. The calculation puts the size of the total moment at 0.0 Bohr magnetons per cell. The value obtained for the total energy is -36.5 eV per formula unit. Its symmetry is P4/mmm, No. 123. The calculation puts the formation energy at 323 meV per atom.

---

Density functional theory data (GGA-PBE) for an optimized crystal structure of TaTc4Pb.

Structure (POSCAR):
```
TaTc4Pb
1.0
0.0000 3.6981 3.6981
3.6981 0.0000 3.6981
3.6981 3.6981 0.0000
Ta Tc Pb
1 4 1
Direct
0.0000 0.0000 0.0000
0.1269 0.6244 0.6244
0.6244 0.1269 0.6244
0.6244 0.6244 0.1269
0.6244 0.6244 0.6244
0.2500 0.2500 0.2500
```

The value obtained for the density of states at the Fermi level is 5.28 states/eV/cell. For the volume, the calculation gives 16.9 Å³/atom. The calculation puts the size of the total moment at 0.0 Bohr magnetons per cell. The value obtained for the total energy is -55.2 eV per formula unit. Its symmetry is F-43m, No. 216. The calculation puts the formation energy at 299 meV per atom.

---

Density functional theory data (GGA-PBE) for an optimized crystal structure of TaTcPb2.

Structure (POSCAR):
```
TaTcPb2
1.0
1.6700 -2.6959 0.0000
1.6700 2.6959 0.0000
0.0000 0.0000 9.3286
Ta Tc Pb
1 1 2
Direct
0.0000 0.0000 0.0000
0.0000 0.0000 0.5000
0.5000 0.5000 0.2626
0.5000 0.5000 0.7374
```

For the energy above the lowest structure with this stoichiometry, the calculation gives 646 meV/atom. The value obtained for the density of states at the Fermi level is 4.27 states/eV/cell. For the volume, the calculation gives 21.0 Å³/atom. The calculation puts the size of the total moment at 0.0 Bohr magnetons per cell. The value obtained for the total energy is -26.4 eV per formula unit. Its symmetry is Cmmm, No. 65. The calculation puts the formation energy at 797 meV per atom.